No. 1
Density functional theory data (PBE) for an optimized crystal structure of CsBeAsPd.

Cell lengths 5.0634, 5.0634, 5.0634 Å; angles 60.00, 60.00, 60.00 degrees
Closest atoms and distances in Å follow each position.
Positions (direct):
Cs 0.0000 0.0000 0.0000  4 As 3.10, 4 Pd 3.10
Be 0.5000 0.5000 0.5000  4 As 3.10, 4 Pd 3.10
As 0.2500 0.2500 0.2500  4 Be 3.10, 4 Cs 3.10
Pd 0.7500 0.7500 0.7500  4 Be 3.10, 4 Cs 3.10

crystal system	cubic
space-group type	F-43m, No. 216
raw total energy	-2.712	eV per atom

=====

No. 2
Density functional theory data (PBE) for an optimized crystal structure of CsBeAsPd.

Cell lengths 4.9779, 4.9779, 4.9779 Å; angles 60.00, 60.00, 60.00 degrees
Closest atoms and distances in Å follow each position.
Positions (direct):
Cs 0.0000 0.0000 0.0000  4 Pd 3.05, 4 Be 3.05
Be 0.2500 0.2500 0.2500  4 As 3.05, 4 Cs 3.05
As 0.5000 0.5000 0.5000  4 Be 3.05, 4 Pd 3.05
Pd 0.7500 0.7500 0.7500  4 As 3.05, 4 Cs 3.05

crystal system	cubic
space-group type	F-43m, No. 216
raw total energy	-2.818	eV per atom

=====

No. 3
Density functional theory data (PBE) for an optimized crystal structure of CsBe2Zn2As3.

Cell lengths 4.0280, 4.0280, 10.6104 Å; angles 90.00, 90.00, 90.00 degrees
Closest atoms and distances in Å follow each position.
Positions (direct):
Cs 0.0000 0.0000 0.0000  8 As 3.73, 4 Cs 4.03
Be 0.0000 0.5000 0.6532  4 As 2.38-2.59
Be 0.5000 0.0000 0.3468  4 As 2.38-2.59
Zn 0.0000 0.5000 0.3543  4 As 2.43-2.54
Zn 0.5000 0.0000 0.6457  4 As 2.43-2.54
As 0.0000 0.0000 0.5000  4 Zn 2.54, 4 Be 2.59
As 0.5000 0.5000 0.2267  2 Be 2.38, 2 Zn 2.43
As 0.5000 0.5000 0.7733  2 Be 2.38, 2 Zn 2.43

crystal system	tetragonal
space-group type	P-4m2, No. 115
raw total energy	-3.311	eV per atom